The following is a DFT calculation (GGA-PBE) of an optimized crystal structure of CoSb2MoI.

## Properties
relative energy among the computed polymorphs: 119 meV per atom
N(E_F): 10.20 states/eV per cell
uncorrected formation energy: 1.117 eV per atom
VASP energy: -4.429 eV/atom
total magnetization: 2.046 μB/f.u.

Cell lengths 5.157, 5.157, 5.762 Å; angles 90.00, 90.00, 90.00 degrees
Space group P4/mmm (No. 123)
Unique sites:
Co 0.000 0.000 0.000 (multiplicity 1)
Sb 0.000 0.500 0.500 (multiplicity 2)
Mo 0.500 0.500 0.500 (multiplicity 1)
I 0.500 0.500 0.000 (multiplicity 1)

***

The following is a DFT calculation (GGA-PBE) of an optimized crystal structure of MgTe2Br.

## Properties
relative energy among the computed polymorphs: 565 meV per atom
N(E_F): 6.49 states/eV per cell
uncorrected formation energy: -0.062 eV per atom
VASP energy: -2.450 eV/atom
total magnetization: 0.000 μB/f.u.

Cell lengths 5.797, 11.379, 3.492 Å; angles 90.00, 90.00, 90.00 degrees
Space group Cmmm (No. 65)
Unique sites:
Mg 0.000 0.000 0.000 (multiplicity 2)
Te 0.250 0.250 0.500 (multiplicity 4)
Br 0.000 0.500 0.000 (multiplicity 2)

***

The following is a DFT calculation (GGA-PBE) of an optimized crystal structure of ScFe2Os.

## Properties
relative energy among the computed polymorphs: 21 meV per atom
N(E_F): 5.96 states/eV per cell
VASP energy: -8.608 eV/atom
ΔE_f: 0.014 eV/atom
total magnetization: 4.897 μB/f.u.

Cell lengths 3.055, 4.300, 8.853 Å; angles 90.00, 90.00, 90.00 degrees
Space group Immm (No. 71)
Unique sites:
Sc 0.000 0.000 0.000 (multiplicity 2)
Fe 0.000 0.500 0.236 (multiplicity 4)
Os 0.000 0.000 0.500 (multiplicity 2)